{
  "formula": "TbHgPb",
  "functional": "PBE",
  "state": "relaxed",
  "e_form_ev_per_atom": -0.24,
  "spacegroup": "F-43m, No. 216",
  "m_tot_mub_per_fu": 0.0,
  "dos_ef_per_ev_atom": 0.8872,
  "lattice": [[5.0217, 0.0000, 0.0000], [2.5108, 4.3489, 0.0000], [2.5108, 1.4496, 4.1002]],
  "species": ["Pb", "Tb", "Hg"],
  "fractional_positions": [[0.5000, 0.5000, 0.5000], [0.0000, 0.0000, 0.0000], [0.2500, 0.2500, 0.2500]]
}